# GGA+U V2SbF, optimized geometry
# Calculated density in g/cm³: 5.62
# Calculated total energy in eV per cell: -83.09
# Polymorph energy (0 for the lowest one) in eV/f.u.: 1.08
# D(E_F) in states/eV per atom: 1.279
data_V2SbF
_cell_length_a 6.593
_cell_length_b 6.593
_cell_length_c 6.593
_cell_angle_alpha 90.00
_cell_angle_beta 90.00
_cell_angle_gamma 90.00
_space_group_name_H-M_alt 'F m -3 m'
_space_group_IT_number 225
_space_group_name_Hall '-F 4 2 3'
loop_
_atom_site_label
_atom_site_fract_x
_atom_site_fract_y
_atom_site_fract_z
V1 0.250 0.250 0.250
Sb1 0.000 0.000 0.000
F1 0.000 0.000 0.500